First-principles (meta-GGA SCAN) data for Cd2CuNi at its PBEsol-relaxed geometry, as listed in Alexandria via LeMat-Bulk.

Results
Total DFT energy (no corrections) = -1.688 Ry/atom
ΔE_f = 0.0871 eV per atom
Relative energy among the computed polymorphs = 0.0 meV/atom

POSCAR file:
```
Cd2CuNi
1.0
2.952 0.000 0.000
0.000 3.019 0.000
0.000 0.000 6.813
Cd Cu Ni
2 1 1
direct
0.000 0.000 0.000 Cd
0.500 0.500 0.331 Cd
0.000 0.000 0.578 Cu
0.500 0.500 0.758 Ni
```